Computed, not measured: a relaxed structure of Na2CaPb5 at the GGA-PBE level of DFT.

Cell and atoms, written as POSCAR:
```
Na2CaPb5
1.0
-3.9845 3.9845 3.7483
3.9845 -3.9845 3.7483
3.9845 3.9845 -3.7483
Na Ca Pb
2 1 5
Direct
0.0000 0.5000 0.5000
0.5000 0.0000 0.5000
0.0000 0.0000 0.0000
0.0000 0.0000 0.5000
0.0000 0.5000 0.0000
0.5000 0.0000 0.0000
0.5000 0.5000 0.0000
0.5000 0.5000 0.5000
```

Values from the calculation:
For the density of states at the Fermi level, the calculation gives 4.07 states/eV/f.u. Its space group is I4/mmm (139). Its formation energy is -0.201 eV/atom. The total magnetic moment comes out at 0.000 μB/atom. As for the calculated total energy: -3.10 eV per atom.



Computed, not measured: a relaxed structure of MnBe2Tl at the GGA-PBE level of DFT.

Cell and atoms, written as POSCAR:
```
MnBe2Tl
1.0
-3.2455 3.2455 2.6221
3.2455 -3.2455 2.6221
3.2455 3.2455 -2.6221
Mn Be Tl
2 4 2
Direct
0.0000 0.0000 0.0000
0.7500 0.2500 0.5000
0.0895 0.6250 0.9645
0.3750 0.3395 0.4645
0.6605 0.1250 0.0355
0.8750 0.9105 0.5355
0.2500 0.7500 0.5000
0.5000 0.5000 0.0000
```

Values from the calculation:
The relative energy among the computed polymorphs comes out at 0.494 eV per atom. For the density of states at the Fermi level, the calculation gives 0.73 states/eV/f.u. Its space group is I-42d (122). Its formation energy is 0.883 eV/atom. The total magnetic moment comes out at 0.000 μB/atom. As for the calculated total energy: -3.86 eV per atom.